Record 1
Computed, not measured: crystalline La3GaO at its relaxed geometry at the GGA-PBE level of DFT.

Calculated values
E_form (uncorrected)	-1.05	eV/atom
density	6.7	g/cm3

```
10
Lattice="5.4566 0.0000 0.0000 -2.7283 4.7256 0.0000 0.0000 0.0000 9.5917" Properties=species:S:1:pos:R:3 pbc="T T T"
La 0.0000 0.0000 2.3979
La 0.0000 0.0000 7.1938
La 0.0000 3.1504 0.7410
La 0.0000 3.1504 4.0548
La 2.7283 1.5752 5.5369
La 2.7283 1.5752 8.8507
Ga 0.0000 3.1504 7.1938
Ga 2.7283 1.5752 2.3979
O 0.0000 0.0000 0.0000
O 0.0000 0.0000 4.7959
```



Record 2
Computed, not measured: crystalline NdSb2Se4 at its relaxed geometry at the GGA-PBE level of DFT.

Calculated values
E_form (uncorrected)	-0.40	eV/atom
density	5.2	g/cm3

```
14
Lattice="7.6704 0.0000 0.0000 0.0000 7.6704 0.0000 0.0000 0.0000 7.6986" Properties=species:S:1:pos:R:3 pbc="T T T"
Nd 0.0000 0.0000 0.0000
Nd 3.8352 3.8352 3.8493
Sb 0.0000 3.8352 1.9247
Sb 0.0000 3.8352 5.7740
Sb 3.8352 0.0000 1.9247
Sb 3.8352 0.0000 5.7740
Se 1.3771 5.4043 3.8493
Se 1.5691 2.4581 0.0000
Se 2.2661 1.3771 3.8493
Se 2.4581 6.1013 0.0000
Se 5.2123 1.5691 0.0000
Se 5.4043 6.2933 3.8493
Se 6.1013 5.2123 0.0000
Se 6.2933 2.2661 3.8493
```



Record 3
Computed, not measured: crystalline PrNd2Y5 at its relaxed geometry at the GGA-PBE level of DFT.

Calculated values
energy of formation from the pure elements	17.3	meV per atom
density	5.4	g/cm3
relative energy among the computed polymorphs	0.0000	eV per atom

```
16
Lattice="7.2311 0.0000 0.0000 0.0000 14.4725 0.0000 0.0000 0.0000 5.1111" Properties=species:S:1:pos:R:3 pbc="T T T"
Pr 0.0000 0.0000 0.0000
Pr 3.6155 7.2363 0.0000
Nd 1.7944 5.4186 2.5555
Nd 1.8211 12.6549 2.5555
Nd 5.4100 1.8176 2.5555
Nd 5.4366 9.0539 2.5555
Y 0.0000 7.2363 0.0000
Y 0.0135 10.8449 0.0000
Y 1.7959 1.8159 2.5555
Y 1.8196 9.0521 2.5555
Y 3.6020 3.6086 0.0000
Y 3.6155 0.0000 0.0000
Y 3.6290 10.8639 0.0000
Y 5.4114 5.4204 2.5555
Y 5.4351 12.6567 2.5555
Y 7.2176 3.6277 0.0000
```